Material: Cd2Ni2Au
Method: DFT, PBE-GGA
State: optimized geometry

Cell lengths 6.5978, 6.5978, 3.8390 Å; angles 90.00, 90.00, 90.00 degrees
With the nearest neighbours (Å) after each atom.
Space group P4/mbm (No. 127)
Symmetry-distinct sites (fractional):
Cd1 0.1706 0.3294 0.0000 (multiplicity 4)  6 Ni 2.70-2.76
Ni1 0.1258 0.6258 0.5000 (multiplicity 4)  1 Ni 2.35, 2 Au 2.60
Au1 0.0000 0.0000 0.5000 (multiplicity 2)  4 Ni 2.60

Calculated values
Calculated total energy   -3.325 eV/atom
ΔE_f   0.01 eV/atom

---

Material: Y2ErCd
Method: DFT, PBE-GGA
State: optimized geometry

Cell lengths 5.3568, 5.3568, 4.0119 Å; angles 90.00, 90.00, 90.00 degrees
With the nearest neighbours (Å) after each atom.
Space group P4/mmm (No. 123)
Symmetry-distinct sites (fractional):
Y1 0.0000 0.5000 0.0000 (multiplicity 2)  4 Cd 3.35, 4 Er 3.35
Er1 0.0000 0.0000 0.5000 (multiplicity 1)  8 Y 3.35
Cd1 0.5000 0.5000 0.5000 (multiplicity 1)  8 Y 3.35

Calculated values
Calculated total energy   -4.666 eV/atom
ΔE_f   -0.06 eV/atom

---

Material: Ba2Cd9Pb
Method: DFT, PBE-GGA
State: optimized geometry

Cell lengths 6.3213, 6.3213, 29.6851 Å; angles 90.00, 90.00, 120.00 degrees
With the nearest neighbours (Å) after each atom.
Space group R-3m (No. 166, hexagonal axes)
Symmetry-distinct sites (fractional):
Ba1 0.0000 0.0000 0.1390 (multiplicity 6)  12 Cd 3.59-3.79, 3 Ba 4.00
Cd1 0.0000 0.0000 0.3348 (multiplicity 6)  6 Cd 3.02-3.05
Cd2 0.0000 0.0000 0.5000 (multiplicity 3)  6 Cd 3.13
Cd3 0.0053 0.5026 0.9182 (multiplicity 18)  7 Cd 3.02-3.21
Pb1 0.0000 0.0000 0.0000 (multiplicity 3)  18 Cd 3.65-3.99

Calculated values
Calculated total energy   -1.463 eV/atom
ΔE_f   -0.15 eV/atom

---

Material: Nd2ScGe4Au3
Method: DFT, PBE-GGA
State: optimized geometry

Cell lengths 4.3434, 4.3434, 11.4282 Å; angles 90.00, 90.00, 90.00 degrees
With the nearest neighbours (Å) after each atom.
Space group P-4m2 (No. 115)
Symmetry-distinct sites (fractional):
Nd1 0.0000 0.5000 0.2445 (multiplicity 2)  6 Au 3.32-3.64, 8 Ge 3.33-3.54, 2 Sc 3.64
Sc1 0.0000 0.0000 0.5000 (multiplicity 1)  4 Ge 2.72
Ge1 0.0000 0.0000 0.0000 (multiplicity 1)  4 Au 2.67
Ge2 0.0000 0.5000 0.6436 (multiplicity 2)  3 Au 2.53-2.72, 2 Sc 2.72
Ge3 0.5000 0.5000 0.0000 (multiplicity 1)  4 Au 2.67
Au1 0.0000 0.5000 0.8647 (multiplicity 2)  5 Ge 2.53-2.67
Au2 0.5000 0.5000 0.5000 (multiplicity 1)  4 Ge 2.72

Calculated values
Calculated total energy   -5.050 eV/atom
ΔE_f   -0.63 eV/atom

---

Material: SrTbAg2
Method: DFT, PBE-GGA
State: optimized geometry

Cell lengths 5.3823, 5.3823, 3.6860 Å; angles 90.00, 90.00, 90.00 degrees
With the nearest neighbours (Å) after each atom.
Space group P4/mmm (No. 123)
Symmetry-distinct sites (fractional):
Sr1 0.0000 0.0000 0.0000 (multiplicity 1)  8 Ag 3.26
Tb1 0.5000 0.5000 0.0000 (multiplicity 1)  8 Ag 3.26
Ag1 0.0000 0.5000 0.5000 (multiplicity 2)  4 Tb 3.26, 4 Sr 3.26

Calculated values
Calculated total energy   -3.246 eV/atom
ΔE_f   -0.24 eV/atom

---

Material: Nd3BiS6
Method: DFT, PBE-GGA
State: optimized geometry

Cell lengths 10.9594, 13.8000, 7.0127 Å; angles 90.00, 90.00, 90.00 degrees
With the nearest neighbours (Å) after each atom.
Space group Cmc2_1 (No. 36)
Symmetry-distinct sites (fractional):
Nd1 0.0000 0.0966 0.0000 (multiplicity 4)  7 S 2.88-2.97
Nd2 0.1865 0.3989 0.9083 (multiplicity 8)  7 S 2.80-3.13
Bi1 0.0000 0.3232 0.3919 (multiplicity 4)  4 S 2.62-2.88
S1 0.0000 0.2700 0.7686 (multiplicity 4)  1 Bi 2.74, 3 Nd 2.88-2.89
S2 0.0000 0.4911 0.1477 (multiplicity 4)  2 Bi 2.88-3.13, 4 Nd 2.93-3.13
S3 0.1643 0.0281 0.7068 (multiplicity 8)  4 Nd 2.80-2.89
S4 0.1685 0.2346 0.1911 (multiplicity 8)  1 Bi 2.62, 1 Nd 2.87

Calculated values
Calculated total energy   -5.896 eV/atom
Energy relative to the elements, uncorrected   -1601 meV per atom

---

no.,total moment (μB/cell)
1,0.00
2,0.00
3,0.00
4,0.00
5,0.00
6,0.00